The following is a DFT calculation (GGA-PBE) of an optimized crystal structure of TeMoAs.

As for the formation energy from raw total energies: 25 kJ per mole of atoms. The value obtained for the energy above the most stable polymorph in this dataset is 6.499 kcal/mol of atoms.

The structure belongs to space group F-43m (No. 216); the cell edges are 6.494, 6.494 and 6.494 Å and the angles 90.00°, 90.00° and 90.00°. The distinct sites, in fractional coordinates, are Te at (0.000, 0.000, 0.000), Mo at (0.250, 0.250, 0.250) and As at (0.000, 0.000, 0.500).

=====

The following is a DFT calculation (GGA-PBE) of an optimized crystal structure of Na5CdAs2.

Its formation energy from the elements is -30.1 kJ/mol of atoms.

The structure belongs to space group P6_3/mmc (No. 194); the cell edges are 5.1941, 5.1941 and 18.3542 Å and the angles 90.00°, 90.00° and 120.00°. The distinct sites, in fractional coordinates, are Na at (0.0000, 0.0000, 0.1375), Na at (0.3333, 0.6667, 0.0539), Na at (0.3333, 0.6667, 0.2500), Cd at (0.3333, 0.6667, 0.7500) and As at (0.3333, 0.6667, 0.6093).

=====

The following is a DFT calculation (GGA-PBE) of an optimized crystal structure of Tb3DyY2Te6.

As for the formation energy from raw total energies: -126 kJ per mole of atoms.

The structure belongs to space group C2/m (No. 12); the cell edges are 19.026, 4.350 and 8.773 Å and the angles 90.00°, 103.27° and 90.00°. The distinct sites, in fractional coordinates, are Tb at (0.000, 0.000, 0.000), Tb at (0.167, 0.500, 0.333), Dy at (0.000, 0.000, 0.500), Y at (0.167, 0.500, 0.833), Te at (0.000, 0.500, 0.251), Te at (0.166, 0.000, 0.583) and Te at (0.167, 0.000, 0.083).

=====

The following is a DFT calculation (GGA-PBE) of an optimized crystal structure of Na4AcTl5.

Its formation energy from the elements is -14.5 kJ/mol of atoms.

The structure belongs to space group P4/mmm (No. 123); the cell edges are 3.956, 3.956 and 18.878 Å and the angles 90.00°, 90.00° and 90.00°. The distinct sites, in fractional coordinates, are Na at (0.000, 0.000, 0.097), Na at (0.000, 0.000, 0.288), Ac at (0.000, 0.000, 0.500), Tl at (0.500, 0.500, 0.000), Tl at (0.500, 0.500, 0.194) and Tl at (0.500, 0.500, 0.381).